{
  "formula": "CaTbSn2",
  "functional": "PBE",
  "state": "relaxed",
  "sg": "Amm2, No. 38",
  "energy_ev_per_cell": -17.29,
  "magmom_total_mub_per_cell": 0.000,
  "formation_enthalpy_0k_kj_per_mol_fu": -256,
  "cell": [[4.377, 0.000, -1.594], [0.000, 4.301, 0.000], [-0.209, 0.000, 6.220]],
  "species": ["Tb", "Sn", "Ca", "Sn"],
  "fractional_positions": [[0.449, 0.500, 0.437], [0.992, 0.000, 0.523], [0.718, 0.000, 0.976], [0.171, 0.500, 0.882]]
}